La2HoAl, optimized geometry, DFT PBE; total magnetic moment = 0.009 μB/cell; symmetry = Fm-3m (225); formation energy = -0.0736 eV per atom; offset from the most stable computed form = 109 meV per atom
1.0
7.8234 0.0000 0.0000
0.0000 7.8234 0.0000
0.0000 0.0000 7.8234
La Ho Al
8 4 4
direct
0.2500 0.2500 0.2500
0.2500 0.2500 0.7500
0.2500 0.7500 0.2500
0.2500 0.7500 0.7500
0.7500 0.2500 0.2500
0.7500 0.2500 0.7500
0.7500 0.7500 0.2500
0.7500 0.7500 0.7500
0.0000 0.0000 0.0000
0.0000 0.5000 0.5000
0.5000 0.0000 0.5000
0.5000 0.5000 0.0000
0.0000 0.0000 0.5000
0.0000 0.5000 0.0000
0.5000 0.0000 0.0000
0.5000 0.5000 0.5000